Entry from the Alexandria database: an optimized crystal structure of Ni2PRu (PBEsol).

Geometry as extended XYZ:
```
4
Lattice="-1.339 0.656 3.697 2.224 -1.042 3.139 1.694 2.810 2.263" Properties=species:S:1:pos:R:3 pbc="T T T"
Ni 0.000 0.000 0.000
Ni 1.934 1.818 6.824
P 1.290 1.212 4.550
Ru 0.645 0.606 2.275
```

Summary:
The volume is 45 Å³/cell. Its symmetry is F-43m (216). As for the formation energy: -0.74 eV per formula unit. The raw total energy is -29.02 eV/cell.